# 1
VASP calculation (PBE-GGA) on a relaxed SrMoSe2 crystal.

The total magnetization is 4.0 μB per formula unit. The value obtained for the energy above the most stable polymorph in this dataset is 1.1292 eV/atom. Its raw formation energy is 0.345 eV/atom. The value obtained for the final energy is -72.41 eV per cell. As for the density: 5.808 g/cm3.

The space group is F-43m (No. 216) and the conventional cell measures 7.3094, 7.3094 and 7.3094 Å, with angles of 90.00, 90.00 and 90.00 degrees. The inequivalent atoms are Sr at (0.0000, 0.0000, 0.0000), Mo at (0.2500, 0.2500, 0.2500), Se at (0.0000, 0.0000, 0.5000) and Se at (0.2500, 0.2500, 0.7500).


# 2
VASP calculation (PBE-GGA) on a relaxed NdHoCuRu crystal.

The total magnetization is 0.0 μB per formula unit. The value obtained for the energy above the most stable polymorph in this dataset is 0.0000 eV/atom. The value obtained for the final energy is -94.79 eV per cell. As for the density: 9.302 g/cm3.

The space group is F-43m (No. 216) and the conventional cell measures 6.9681, 6.9681 and 6.9681 Å, with angles of 90.00, 90.00 and 90.00 degrees. The inequivalent atoms are Nd at (0.0000, 0.0000, 0.0000), Ho at (0.0000, 0.0000, 0.5000), Cu at (0.2500, 0.2500, 0.2500) and Ru at (0.2500, 0.2500, 0.7500).


# 3
VASP calculation (PBE-GGA) on a relaxed K3Np3CdS8 crystal.

The total magnetization is 3.4 μB per formula unit. Its raw formation energy is -1.224 eV/atom. The value obtained for the final energy is -188.81 eV per cell. As for the density: 4.756 g/cm3.

The space group is C2/m (No. 12) and the conventional cell measures 14.0012, 8.0353 and 8.7727 Å, with angles of 90.00, 122.11 and 90.00 degrees. The inequivalent atoms are K at (0.0000, 0.0000, 0.0000), K at (0.2500, 0.2500, 0.0000), Np at (0.0000, 0.5000, 0.5000), Np at (0.2500, 0.2500, 0.5000), Cd at (0.0000, 0.0000, 0.5000), S at (0.0189, 0.2558, 0.3027), S at (0.2342, 0.5000, 0.7014) and S at (0.2378, 0.0000, 0.6961).


# 4
VASP calculation (PBE-GGA) on a relaxed TbPaGa crystal.

The total magnetization is 0.0 μB per formula unit. The value obtained for the energy above the most stable polymorph in this dataset is 0.1811 eV/atom. The value obtained for the final energy is -16.99 eV per cell. As for the density: 10.429 g/cm3.

The space group is P3m1 (No. 156) and the conventional cell measures 5.0694, 5.0694 and 3.2887 Å, with angles of 90.00, 90.00 and 120.00 degrees. The inequivalent atoms are Tb at (0.0000, 0.0000, 0.0000), Pa at (0.3333, 0.6667, 0.5476) and Ga at (0.6667, 0.3333, 0.2389).


# 5
VASP calculation (PBE-GGA) on a relaxed VFeAg2 crystal.

The total magnetization is 0.1 μB per formula unit. The value obtained for the energy above the most stable polymorph in this dataset is 0.0000 eV/atom. The value obtained for the final energy is -84.54 eV per cell. As for the density: 8.364 g/cm3.

The space group is Fm-3m (No. 225) and the conventional cell measures 6.3506, 6.3506 and 6.3506 Å, with angles of 90.00, 90.00 and 90.00 degrees. The inequivalent atoms are V at (0.0000, 0.0000, 0.0000), Fe at (0.0000, 0.0000, 0.5000) and Ag at (0.2500, 0.2500, 0.2500).


# 6
VASP calculation (PBE-GGA) on a relaxed Ac3Pm2SmTe6 crystal.

The total magnetization is 0.0 μB per formula unit. Its raw formation energy is -1.442 eV/atom. The value obtained for the final energy is -125.39 eV per cell. As for the density: 7.614 g/cm3.

The space group is C2/m (No. 12) and the conventional cell measures 20.1085, 4.5584 and 9.2720 Å, with angles of 90.00, 104.43 and 90.00 degrees. The inequivalent atoms are Ac at (0.0000, 0.0000, 0.0000), Ac at (0.1672, 0.5000, 0.3334), Pm at (0.1667, 0.5000, 0.8334), Sm at (0.0000, 0.0000, 0.5000), Te at (0.0035, 0.5000, 0.7390), Te at (0.1621, 0.0000, 0.5924) and Te at (0.1704, 0.0000, 0.0736).


# 7
VASP calculation (PBE-GGA) on a relaxed AgPdRh2C crystal.

The total magnetization is 0.0 μB per formula unit. The value obtained for the final energy is -31.01 eV per cell. As for the density: 10.226 g/cm3.

The space group is P4/mmm (No. 123) and the conventional cell measures 4.0639, 4.0639 and 4.2487 Å, with angles of 90.00, 90.00 and 90.00 degrees. The inequivalent atoms are Ag at (0.0000, 0.0000, 0.0000), Pd at (0.5000, 0.5000, 0.0000), Rh at (0.0000, 0.5000, 0.5000) and C at (0.5000, 0.5000, 0.5000).


# 8
VASP calculation (PBE-GGA) on a relaxed CuReSb2 crystal.

The total magnetization is 0.0 μB per formula unit. The value obtained for the energy above the most stable polymorph in this dataset is 0.1594 eV/atom. Its raw formation energy is 0.481 eV/atom. The value obtained for the final energy is -45.73 eV per cell. As for the density: 10.047 g/cm3.

The space group is Imm2 (No. 44) and the conventional cell measures 3.2068, 3.9843 and 12.7613 Å, with angles of 90.00, 90.00 and 90.00 degrees. The inequivalent atoms are Cu at (0.0000, 0.0000, 0.0000), Re at (0.0000, 0.5000, 0.7180), Sb at (0.0000, 0.0000, 0.3896) and Sb at (0.0000, 0.5000, 0.1463).


# 9
VASP calculation (PBE-GGA) on a relaxed PaMnOs2 crystal.

The total magnetization is 3.5 μB per formula unit. The value obtained for the energy above the most stable polymorph in this dataset is 0.0000 eV/atom. The value obtained for the final energy is -41.56 eV per cell. As for the density: 16.269 g/cm3.

The space group is P4/mmm (No. 123) and the conventional cell measures 4.2540, 4.2540 and 3.7589 Å, with angles of 90.00, 90.00 and 90.00 degrees. The inequivalent atoms are Pa at (0.0000, 0.0000, 0.0000), Mn at (0.5000, 0.5000, 0.0000) and Os at (0.0000, 0.5000, 0.5000).